1.
Compound: Zn3N2
Source: Alexandria
Functional: GGA-PBE
Structure: relaxed

Cell lengths 8.539, 8.539, 8.539 Å; angles 109.47, 109.47, 109.47 degrees
Fractional positions:
Zn1 0.022 0.049 0.271
Zn2 0.027 0.478 0.750
Zn3 0.049 0.271 0.022
Zn4 0.223 0.451 0.473
Zn5 0.229 0.277 0.750
Zn6 0.250 0.771 0.723
Zn7 0.250 0.973 0.522
Zn8 0.271 0.022 0.049
Zn9 0.277 0.750 0.229
Zn10 0.451 0.473 0.223
Zn11 0.473 0.223 0.451
Zn12 0.478 0.750 0.027
Zn13 0.522 0.250 0.973
Zn14 0.527 0.777 0.549
Zn15 0.549 0.527 0.777
Zn16 0.723 0.250 0.771
Zn17 0.729 0.978 0.951
Zn18 0.750 0.027 0.478
Zn19 0.750 0.229 0.277
Zn20 0.771 0.723 0.250
Zn21 0.777 0.549 0.527
Zn22 0.951 0.729 0.978
Zn23 0.973 0.522 0.250
Zn24 0.978 0.951 0.729
N1 0.000 0.000 0.000
N2 0.000 0.500 0.500
N3 0.019 0.769 0.250
N4 0.231 0.750 0.981
N5 0.250 0.019 0.769
N6 0.250 0.519 0.269
N7 0.269 0.250 0.519
N8 0.481 0.731 0.750
N9 0.500 0.000 0.500
N10 0.500 0.500 0.000
N11 0.519 0.269 0.250
N12 0.731 0.750 0.481
N13 0.750 0.481 0.731
N14 0.750 0.981 0.231
N15 0.769 0.250 0.019
N16 0.981 0.231 0.750

**Relative energy among the computed polymorphs**: 0 meV per atom
**Uncorrected formation energy**: 118 meV/atom


2.
Compound: LiNiBBr2
Source: Alexandria
Functional: GGA-PBE
Structure: relaxed

Cell lengths 4.844, 4.844, 4.355 Å; angles 90.00, 90.00, 90.00 degrees
Fractional positions:
Li1 0.000 0.000 0.000
Ni1 0.000 0.000 0.500
B1 0.500 0.500 0.500
Br1 0.000 0.500 0.000
Br2 0.500 0.000 0.000

**Uncorrected formation energy**: 1067 meV/atom


3.
Compound: Ba2LaMgRh
Source: Alexandria
Functional: GGA-PBE
Structure: relaxed

Cell lengths 6.221, 6.221, 5.396 Å; angles 90.00, 90.00, 90.00 degrees
Fractional positions:
Ba1 0.000 0.500 0.000
Ba2 0.500 0.000 0.000
La1 0.000 0.000 0.500
Mg1 0.500 0.500 0.500
Rh1 0.000 0.000 0.000

**DFT formation energy**: -0.147 eV/atom


4.
Compound: NiGeRu
Source: Alexandria
Functional: GGA-PBE
Structure: relaxed

Cell lengths 4.028, 4.028, 2.814 Å; angles 90.00, 90.00, 120.00 degrees
Fractional positions:
Ni1 0.000 0.000 0.000
Ge1 0.667 0.333 0.004
Ru1 0.333 0.667 0.501

**DFT formation energy**: -0.083 eV/atom


5.
Compound: Dy4MgIr2
Source: Alexandria
Functional: GGA-PBE
Structure: relaxed

Cell lengths 7.224, 7.229, 7.532 Å; angles 102.28, 102.26, 96.46 degrees
Fractional positions:
Dy1 0.000 0.000 0.000
Dy2 0.011 0.011 0.490
Dy3 0.055 0.437 0.352
Dy4 0.415 0.398 0.025
Dy5 0.541 0.093 0.649
Dy6 0.574 0.956 0.139
Dy7 0.613 0.597 0.468
Dy8 0.919 0.469 0.842
Mg1 0.232 0.778 0.245
Mg2 0.286 0.725 0.746
Ir1 0.322 0.184 0.308
Ir2 0.746 0.256 0.032
Ir3 0.755 0.265 0.459
Ir4 0.827 0.688 0.183

**DFT formation energy**: -0.465 eV/atom


6.
Compound: Ti2BeCrGa
Source: Alexandria
Functional: GGA-PBE
Structure: relaxed

Cell lengths 4.341, 4.341, 3.967 Å; angles 90.00, 90.00, 90.00 degrees
Fractional positions:
Ti1 0.000 0.500 0.000
Ti2 0.500 0.000 0.000
Be1 0.000 0.000 0.000
Cr1 0.500 0.500 0.500
Ga1 0.000 0.000 0.500

**DFT formation energy**: 0.521 eV/atom


7.
Compound: HfHRh3
Source: Alexandria
Functional: GGA-PBE
Structure: relaxed

Cell lengths 3.988, 3.988, 3.988 Å; angles 90.00, 90.00, 90.00 degrees
Fractional positions:
Hf1 0.000 0.000 0.000
H1 0.500 0.500 0.500
Rh1 0.000 0.500 0.500
Rh2 0.500 0.000 0.500
Rh3 0.500 0.500 0.000

**Relative energy among the computed polymorphs**: 0 meV per atom


8.
Compound: Tl2Ag2I
Source: Alexandria
Functional: GGA-PBE
Structure: relaxed

Cell lengths 8.247, 8.247, 4.065 Å; angles 90.00, 90.00, 90.00 degrees
Fractional positions:
Tl1 0.174 0.326 0.000
Tl2 0.326 0.826 0.000
Tl3 0.674 0.174 0.000
Tl4 0.826 0.674 0.000
Ag1 0.119 0.619 0.500
Ag2 0.381 0.119 0.500
Ag3 0.619 0.881 0.500
Ag4 0.881 0.381 0.500
I1 0.000 0.000 0.500
I2 0.500 0.500 0.500

**Relative energy among the computed polymorphs**: 52 meV per atom
**Uncorrected formation energy**: 16 meV/atom


Q: Number 3 is which compound?
A: Ba2LaMgRh